Entry i
This record from Alexandria via LeMat-Bulk describes TlFeBr3 after structural relaxation. The functional is PBE-GGA.

Properties
Fermi-level density of states ... 0.9662 states/eV per atom
Density ... 5606 kg/m³

Cell: 12.857 12.857 6.207 Å, 90.00 90.00 120.00°
Sites, in units of the cell vectors:
Tl1 0.661 0.000 0.768
Tl2 0.339 0.000 0.268
Tl3 0.000 0.339 0.268
Tl4 0.339 0.339 0.768
Tl5 0.000 0.661 0.768
Tl6 0.661 0.661 0.268
Fe1 0.333 0.667 0.463
Fe2 0.000 0.000 0.106
Fe3 0.667 0.333 0.963
Fe4 0.333 0.667 0.963
Fe5 0.000 0.000 0.606
Fe6 0.667 0.333 0.463
Br1 0.000 0.836 0.361
Br2 0.164 0.000 0.861
Br3 0.502 0.332 0.209
Br4 0.836 0.000 0.361
Br5 0.000 0.164 0.861
Br6 0.164 0.164 0.361
Br7 0.836 0.836 0.861
Br8 0.668 0.170 0.209
Br9 0.668 0.498 0.709
Br10 0.498 0.668 0.709
Br11 0.830 0.332 0.709
Br12 0.332 0.830 0.709
Br13 0.332 0.502 0.209
Br14 0.830 0.498 0.209
Br15 0.502 0.170 0.709
Br16 0.170 0.502 0.709
Br17 0.170 0.668 0.209
Br18 0.498 0.830 0.209


Entry ii
This record from Alexandria via LeMat-Bulk describes TlFeBr3 after structural relaxation. The functional is PBE-GGA.

Properties
Fermi-level density of states ... 0.4572 states/eV per atom
Density ... 4767 kg/m³

Cell: 5.746 7.986 7.981 Å, 72.50 86.46 86.51°
Sites, in units of the cell vectors:
Tl1 0.928 0.148 0.587
Tl2 0.557 0.756 0.195
Fe1 0.743 0.598 0.745
Fe2 0.742 0.306 0.037
Br1 0.497 0.347 0.786
Br2 0.987 0.557 0.996
Br3 0.509 0.291 0.303
Br4 0.510 0.863 0.730
Br5 0.975 0.041 0.052
Br6 0.976 0.613 0.480


What is the stability order? It is entry ii, entry i, from most stable to least stable.


Entry i
This record from Alexandria via LeMat-Bulk describes TlFeBr3 after structural relaxation. The functional is PBE-GGA.

Properties
Fermi-level density of states ... 0.9840 states/eV per atom
Density ... 5759 kg/m³

Cell: 3.962 9.456 15.390 Å, 90.00 90.00 90.00°
Sites, in units of the cell vectors:
Tl1 0.750 0.547 0.172
Tl2 0.250 0.453 0.828
Tl3 0.750 0.047 0.328
Tl4 0.250 0.953 0.672
Fe1 0.750 0.846 0.948
Fe2 0.250 0.154 0.052
Fe3 0.750 0.346 0.552
Fe4 0.250 0.654 0.448
Br1 0.750 0.819 0.503
Br2 0.250 0.181 0.497
Br3 0.750 0.319 0.997
Br4 0.250 0.681 0.003
Br5 0.750 0.733 0.798
Br6 0.250 0.267 0.202
Br7 0.750 0.233 0.702
Br8 0.250 0.767 0.298
Br9 0.750 0.977 0.098
Br10 0.250 0.023 0.902
Br11 0.750 0.477 0.402
Br12 0.250 0.523 0.598


Entry ii
This record from Alexandria via LeMat-Bulk describes TlFeBr3 after structural relaxation. The functional is PBE-GGA.

Properties
Fermi-level density of states ... 0.6246 states/eV per atom
Density ... 4749 kg/m³

Cell: 7.661 8.496 10.742 Å, 90.00 89.70 90.00°
Sites, in units of the cell vectors:
Tl1 0.956 0.610 0.254
Tl2 0.544 0.110 0.246
Tl3 0.044 0.390 0.746
Tl4 0.456 0.890 0.754
Fe1 0.432 0.602 0.065
Fe2 0.068 0.102 0.435
Fe3 0.568 0.398 0.935
Fe4 0.932 0.898 0.565
Br1 0.158 0.710 0.553
Br2 0.342 0.210 0.947
Br3 0.842 0.290 0.447
Br4 0.658 0.790 0.053
Br5 0.880 0.023 0.758
Br6 0.620 0.523 0.742
Br7 0.120 0.977 0.242
Br8 0.380 0.477 0.258
Br9 0.680 0.826 0.450
Br10 0.820 0.326 0.050
Br11 0.320 0.174 0.550
Br12 0.180 0.674 0.950


What is the stability order? It is entry ii, entry i, from most stable to least stable.


Entry i
This record from Alexandria via LeMat-Bulk describes Tl2FeBr6 after structural relaxation. The functional is PBE-GGA.

Properties
Fermi-level density of states ... 0.3660 states/eV per atom
Density ... 5576 kg/m³

Cell: 7.335 7.167 7.294 Å, 119.42 61.96 90.00°
Sites, in units of the cell vectors:
Tl1 0.251 0.256 0.512
Tl2 0.749 0.744 0.488
Fe1 0.000 0.000 0.000
Br1 0.791 0.214 0.949
Br2 0.717 0.242 0.485
Br3 0.791 0.736 0.949
Br4 0.209 0.786 0.051
Br5 0.283 0.758 0.515
Br6 0.209 0.264 0.051


Entry ii
This record from Alexandria via LeMat-Bulk describes Tl2FeBr6 after structural relaxation. The functional is PBE-GGA.

Properties
Fermi-level density of states ... 0.3089 states/eV per atom
Density ... 5010 kg/m³

Cell: 6.933 6.933 13.020 Å, 90.00 90.00 90.00°
Sites, in units of the cell vectors:
Tl1 0.000 0.000 0.336
Tl2 0.500 0.500 0.836
Tl3 0.500 0.500 0.164
Tl4 0.000 0.000 0.664
Fe1 0.000 0.000 0.000
Fe2 0.500 0.500 0.500
Br1 0.318 0.318 0.359
Br2 0.682 0.682 0.359
Br3 0.182 0.818 0.859
Br4 0.818 0.182 0.859
Br5 0.182 0.818 0.141
Br6 0.818 0.182 0.141
Br7 0.318 0.318 0.641
Br8 0.682 0.682 0.641
Br9 0.256 0.256 0.000
Br10 0.744 0.744 0.000
Br11 0.244 0.756 0.500
Br12 0.756 0.244 0.500


What is the stability order? It is entry i, entry ii, from most stable to least stable.


Entry i
This record from Alexandria via LeMat-Bulk describes Tl3FeBr6 after structural relaxation. The functional is PBE-GGA.

Properties
Density ... 5120 kg/m³

Cell: 9.065 9.065 9.065 Å, 89.79 89.79 89.79°
Sites, in units of the cell vectors:
Tl1 0.433 0.916 0.762
Tl2 0.916 0.762 0.433
Tl3 0.238 0.567 0.084
Tl4 0.762 0.433 0.916
Tl5 0.084 0.238 0.567
Tl6 0.567 0.084 0.238
Fe1 0.000 0.000 0.000
Fe2 0.500 0.500 0.500
Br1 0.262 0.930 0.091
Br2 0.070 0.909 0.738
Br3 0.557 0.775 0.451
Br4 0.909 0.738 0.070
Br5 0.451 0.557 0.775
Br6 0.225 0.549 0.443
Br7 0.775 0.451 0.557
Br8 0.549 0.443 0.225
Br9 0.091 0.262 0.930
Br10 0.443 0.225 0.549
Br11 0.930 0.091 0.262
Br12 0.738 0.070 0.909


Entry ii
This record from Alexandria via LeMat-Bulk describes Tl3FeBr6 after structural relaxation. The functional is PBE-GGA.

Properties
Density ... 4653 kg/m³

Cell: 7.981 10.290 10.290 Å, 104.10 90.00 90.00°
Sites, in units of the cell vectors:
Tl1 0.468 0.897 0.711
Tl2 0.968 0.711 0.897
Tl3 0.417 0.406 0.594
Tl4 0.917 0.594 0.406
Tl5 0.968 0.103 0.289
Tl6 0.468 0.289 0.103
Fe1 0.041 0.192 0.808
Fe2 0.541 0.808 0.192
Br1 0.196 0.679 0.643
Br2 0.696 0.643 0.679
Br3 0.161 0.406 0.896
Br4 0.661 0.896 0.406
Br5 0.129 0.052 0.948
Br6 0.748 0.204 0.796
Br7 0.248 0.796 0.204
Br8 0.629 0.948 0.052
Br9 0.161 0.104 0.594
Br10 0.661 0.594 0.104
Br11 0.196 0.357 0.321
Br12 0.696 0.321 0.357


What is the stability order? It is entry ii, entry i, from most stable to least stable.


Entry i
This record from Alexandria via LeMat-Bulk describes TlFe3Br after structural relaxation. The functional is PBE-GGA.

Properties
Fermi-level density of states ... 2.2481 states/eV per atom
Density ... 5722 kg/m³

Cell: 5.080 5.080 5.080 Å, 90.00 90.00 90.00°
Sites, in units of the cell vectors:
Tl1 0.000 0.000 0.000
Fe1 0.000 0.500 0.000
Fe2 0.000 0.000 0.500
Fe3 0.500 0.000 0.000
Br1 0.500 0.500 0.500


Entry ii
This record from Alexandria via LeMat-Bulk describes TlFe3Br after structural relaxation. The functional is PBE-GGA.

Properties
Fermi-level density of states ... 0.7075 states/eV per atom
Density ... 8310 kg/m³

Cell: 4.486 4.486 4.486 Å, 90.00 90.00 90.00°
Sites, in units of the cell vectors:
Tl1 0.500 0.500 0.500
Fe1 0.000 0.500 0.000
Fe2 0.000 0.000 0.500
Fe3 0.500 0.000 0.000
Br1 0.000 0.000 0.000


What is the stability order? It is entry ii, entry i, from most stable to least stable.


Entry i
This record from Alexandria via LeMat-Bulk describes FeWBr2 after structural relaxation. The functional is PBE-GGA.

Properties
Fermi-level density of states ... 0.9053 states/eV per atom
Density ... 8650 kg/m³

Cell: 4.337 3.051 6.129 Å, 109.00 90.00 90.00°
Sites, in units of the cell vectors:
Br1 0.000 0.831 0.002
Br2 0.000 0.669 0.498
Fe1 0.500 0.250 0.250
W1 0.500 0.750 0.750


Entry ii
This record from Alexandria via LeMat-Bulk describes FeWBr2 after structural relaxation. The functional is PBE-GGA.

Properties
Fermi-level density of states ... 0.5070 states/eV per atom
Density ... 6405 kg/m³

Cell: 4.956 4.956 7.349 Å, 71.06 71.06 37.64°
Sites, in units of the cell vectors:
Br1 0.934 0.934 0.122
Br2 0.797 0.797 0.629
Fe1 0.546 0.546 0.374
W1 0.223 0.223 0.375


Entry iii
This record from Alexandria via LeMat-Bulk describes FeWBr2 after structural relaxation. The functional is PBE-GGA.

Properties
Fermi-level density of states ... 0.7007 states/eV per atom
Density ... 8040 kg/m³

Cell: 3.086 3.086 8.667 Å, 90.00 90.00 90.00°
Sites, in units of the cell vectors:
Br1 0.000 0.000 0.915
Br2 0.500 0.500 0.343
Fe1 0.000 0.000 0.534
W1 0.500 0.500 0.708


Entry iv
This record from Alexandria via LeMat-Bulk describes FeWBr2 after structural relaxation. The functional is PBE-GGA.

Properties
Fermi-level density of states ... 1.1041 states/eV per atom
Density ... 9044 kg/m³

Cell: 5.118 5.118 5.118 Å, 131.64 131.64 70.81°
Sites, in units of the cell vectors:
Br1 0.000 0.000 0.000
Br2 0.250 0.750 0.500
Fe1 0.500 0.500 0.000
W1 0.750 0.250 0.500


What is the stability order? It is entry iii, entry ii, entry i, entry iv, from most stable to least stable.